1.
{
  "formula": "FeGeMo",
  "functional": "GGA-PBE",
  "state": "optimized geometry",
  "lattice": [[2.783, 0.000, 0.000], [0.000, 4.098, 0.000], [0.000, -2.049, 3.549]],
  "species": ["Mo", "Ge", "Fe"],
  "frac_coords": [[0.666, 0.333, 0.667], [0.166, 0.667, 0.333], [0.167, 0.000, 0.000]],
  "rho_g_cm3": 9.21,
  "delta_e_f_ev_per_atom": -0.051,
  "sg": "No. 187",
  "dos_at_fermi_per_ev_atom": 0.577,
  "energy_ev_per_atom": -8.021
}

2.
{
  "formula": "Th6AsIr3S2",
  "functional": "GGA-PBE",
  "state": "optimized geometry",
  "lattice": [[4.104, 0.000, 0.000], [0.000, 8.591, 0.025], [-2.052, -2.770, 8.865]],
  "species": ["Th", "Th", "Th", "Th", "Th", "Th", "As", "Ir", "Ir", "Ir", "S", "S"],
  "frac_coords": [[0.328, 0.930, 0.657], [0.662, 0.593, 0.325], [0.672, 0.070, 0.343], [0.995, 0.262, 0.989], [0.005, 0.738, 0.011], [0.338, 0.407, 0.675], [0.500, 0.000, 0.000], [0.500, 0.500, 0.000], [0.833, 0.170, 0.665], [0.167, 0.830, 0.335], [0.833, 0.666, 0.665], [0.167, 0.334, 0.335]],
  "rho_g_cm3": 11.19,
  "sg": "No. 12",
  "dos_at_fermi_per_ev_atom": 0.871,
  "energy_ev_per_atom": -8.288,
  "formation_energy_uncorrected_kj_per_mol_fu": -1490.8
}

3.
{
  "formula": "Na2CaIrO4",
  "functional": "GGA-PBE",
  "state": "optimized geometry",
  "lattice": [[3.292, 0.000, 0.000], [0.000, 5.559, 0.077], [0.000, -1.958, 5.413]],
  "species": ["Na", "Na", "Ca", "Ir", "O", "O", "O", "O"],
  "frac_coords": [[0.500, 0.000, 0.500], [0.000, 0.500, 0.500], [0.500, 0.500, 0.000], [0.000, 0.000, 0.000], [0.500, 0.198, 0.198], [0.500, 0.802, 0.802], [0.000, 0.231, 0.782], [0.000, 0.769, 0.218]],
  "rho_g_cm3": 5.71,
  "sg": "No. 10",
  "dos_at_fermi_per_ev_atom": 0.494,
  "energy_ev_per_atom": -5.771,
  "formation_energy_uncorrected_kj_per_mol_fu": -1238.5
}

What did the first record say?
{
  "formula": "FeGeMo",
  "functional": "GGA-PBE",
  "state": "optimized geometry",
  "lattice": [[2.783, 0.000, 0.000], [0.000, 4.098, 0.000], [0.000, -2.049, 3.549]],
  "species": ["Mo", "Ge", "Fe"],
  "frac_coords": [[0.666, 0.333, 0.667], [0.166, 0.667, 0.333], [0.167, 0.000, 0.000]],
  "rho_g_cm3": 9.21,
  "delta_e_f_ev_per_atom": -0.051,
  "sg": "No. 187",
  "dos_at_fermi_per_ev_atom": 0.577,
  "energy_ev_per_atom": -8.021
}